DFT (PBE) results for CuPI3 after structural relaxation.

## Properties
Excess energy over the best structure of this formula in the dataset ... 0.6136 eV per atom
Space-group type ... Pm-3m (221)
V ... 167 Å³/f.u.
E_form (uncorrected) ... 0.577 eV per atom

Unit cell a=5.5057 b=5.5057 c=5.5057 alpha=90.00 beta=90.00 gamma=90.00
Last column: nearest neighbours and their distance in Å.
Element x y z (fractional)
Cu1 0.0000 0.0000 0.0000  12 I 3.89
P1 0.5000 0.5000 0.5000  6 I 2.75
I1 0.0000 0.5000 0.5000  2 P 2.75
I2 0.5000 0.0000 0.5000  2 P 2.75
I3 0.5000 0.5000 0.0000  2 P 2.75